# KNaZnIn (PBE-GGA, optimized geometry)
# V: 111.5 Å³/f.u.
# Energy relative to the elements: 53.0 meV per atom
# M_tot: 0.000 μB/cell
data_KNaZnIn
_cell_length_a 7.640
_cell_length_b 7.640
_cell_length_c 7.640
_cell_angle_alpha 90.00
_cell_angle_beta 90.00
_cell_angle_gamma 90.00
_symmetry_space_group_name_H-M 'F -4 3 m'
_symmetry_Int_Tables_number 216
_symmetry_space_group_name_Hall 'F -4 2 3'
loop_
_atom_site_label
_atom_site_type_symbol
_atom_site_fract_x
_atom_site_fract_y
_atom_site_fract_z
K1 K 0.000 0.000 0.000
Na1 Na 0.250 0.250 0.250
Zn1 Zn 0.250 0.250 0.750
In1 In 0.000 0.000 0.500